Record 1
GGA-PBEsol SnGeTe2I, optimized geometry; symmetry = P4/mmm (123); crystal system = tetragonal
1.0
5.639 0.000 0.000
0.000 5.639 0.000
0.000 0.000 5.680
Sn Ge Te I
1 1 2 1
direct
0.000 0.000 0.000
0.500 0.500 0.500
0.000 0.500 0.000
0.500 0.000 0.000
0.000 0.000 0.500

=====

Record 2
GGA-PBEsol Li4Ti2Nb3Ni3O16, optimized geometry; symmetry = Cm (8); crystal system = monoclinic
1.0
5.111 -2.958 0.000
5.111 2.958 0.000
-0.069 0.000 9.575
Li Ti Nb Ni O
4 2 3 3 16
direct
0.000 0.000 0.000
0.236 0.236 0.079
0.552 0.552 0.556
0.896 0.896 0.458
0.218 0.218 0.452
0.531 0.531 0.972
0.045 0.544 0.748
0.544 0.045 0.748
0.712 0.712 0.229
0.067 0.067 0.741
0.232 0.721 0.249
0.721 0.232 0.249
0.051 0.548 0.361
0.061 0.061 0.363
0.220 0.714 0.865
0.224 0.224 0.875
0.372 0.372 0.624
0.381 0.926 0.610
0.403 0.860 0.105
0.413 0.413 0.118
0.548 0.051 0.361
0.563 0.563 0.359
0.706 0.706 0.858
0.714 0.220 0.865
0.860 0.403 0.105
0.889 0.889 0.152
0.892 0.892 0.648
0.926 0.381 0.610

=====

Number 1: ΔE_f (raw) 0.56 eV per atom. Number 2: ΔE_f (raw) -2.13 eV per atom.